[1]
PBE-GGA Nd2Y2Tl3, relaxed; excess energy over the best structure of this formula in the dataset = 14.7 meV per atom; uncorrected energy = -31.3 eV per cell; DOS at the Fermi energy = 6.6 states/eV/cell; energy relative to the elements = -5.82 kcal/mol of atoms; space group = No. 65
1.0
1.794 -16.311 0.000
1.794 16.311 0.000
0.000 0.000 3.589
Nd Y Tl
2 2 3
Direct
0.069 0.931 0.000 Nd
0.931 0.069 0.000 Nd
0.202 0.798 0.000 Y
0.798 0.202 0.000 Y
0.361 0.639 0.500 Tl
0.500 0.500 0.500 Tl
0.639 0.361 0.500 Tl



[2]
PBE-GGA Nd8YTl2, relaxed; uncorrected energy = -49.7 eV per cell; DOS at the Fermi energy = 15.1 states/eV/cell; energy relative to the elements = -0.70 kcal/mol of atoms; space group = No. 12
1.0
4.530 -7.822 0.000
4.530 7.822 0.000
-2.534 0.000 5.287
Nd Y Tl
8 1 2
Direct
0.093 0.319 0.617 Nd
0.220 0.780 0.000 Nd
0.319 0.093 0.617 Nd
0.405 0.405 0.205 Nd
0.595 0.595 0.795 Nd
0.681 0.907 0.383 Nd
0.780 0.220 0.000 Nd
0.907 0.681 0.383 Nd
0.000 0.000 0.000 Y
0.306 0.694 0.500 Tl
0.694 0.306 0.500 Tl



[3]
PBE-GGA Nd6YTl5, relaxed; uncorrected energy = -50.5 eV per cell; DOS at the Fermi energy = 12.8 states/eV/cell; energy relative to the elements = -6.99 kcal/mol of atoms; space group = No. 71
1.0
-2.555 4.569 7.766
2.555 -4.569 7.766
2.555 4.569 -7.766
Nd Y Tl
6 1 5
Direct
0.067 0.328 0.739 Nd
0.232 0.000 0.232 Nd
0.410 0.672 0.739 Nd
0.590 0.328 0.261 Nd
0.768 0.000 0.768 Nd
0.933 0.672 0.261 Nd
0.500 0.500 0.000 Y
0.000 0.500 0.500 Tl
0.174 0.174 0.000 Tl
0.351 0.851 0.500 Tl
0.649 0.149 0.500 Tl
0.826 0.826 0.000 Tl



[4]
PBE-GGA NdY2Tl2, relaxed; excess energy over the best structure of this formula in the dataset = 125.7 meV per atom; uncorrected energy = -46.6 eV per cell; DOS at the Fermi energy = 10.1 states/eV/cell; energy relative to the elements = -4.10 kcal/mol of atoms; space group = No. 11
1.0
5.837 0.000 0.000
0.000 3.843 0.000
-1.443 0.000 13.843
Nd Y Tl
2 4 4
Direct
0.196 0.250 0.251 Nd
0.804 0.750 0.749 Nd
0.243 0.750 0.470 Y
0.319 0.250 0.887 Y
0.681 0.750 0.113 Y
0.757 0.250 0.530 Y
0.182 0.750 0.054 Tl
0.287 0.250 0.661 Tl
0.713 0.750 0.339 Tl
0.818 0.250 0.946 Tl



[5]
PBE-GGA Nd2YTl3, relaxed; excess energy over the best structure of this formula in the dataset = 143.9 meV per atom; uncorrected energy = -49.2 eV per cell; DOS at the Fermi energy = 9.5 states/eV/cell; energy relative to the elements = -5.72 kcal/mol of atoms; space group = No. 63
1.0
1.889 -14.578 0.000
1.889 14.578 0.000
0.000 0.000 6.791
Nd Y Tl
4 2 6
Direct
0.006 0.994 0.750 Nd
0.154 0.846 0.250 Nd
0.846 0.154 0.750 Nd
0.994 0.006 0.250 Nd
0.333 0.667 0.250 Y
0.667 0.333 0.750 Y
0.254 0.746 0.750 Tl
0.422 0.578 0.511 Tl
0.422 0.578 0.989 Tl
0.578 0.422 0.011 Tl
0.578 0.422 0.489 Tl
0.746 0.254 0.250 Tl



[6]
PBE-GGA Nd4YTl2, relaxed; excess energy over the best structure of this formula in the dataset = 52.8 meV per atom; uncorrected energy = -29.7 eV per cell; DOS at the Fermi energy = 10.0 states/eV/cell; energy relative to the elements = 1.75 kcal/mol of atoms; space group = No. 2
1.0
6.276 0.000 0.000
-0.435 6.346 0.000
-0.407 -2.743 5.753
Nd Y Tl
4 1 2
Direct
0.000 0.000 0.000 Nd
0.000 0.500 0.500 Nd
0.500 0.209 0.289 Nd
0.500 0.791 0.711 Nd
0.000 0.000 0.500 Y
0.266 0.576 0.077 Tl
0.734 0.424 0.923 Tl



[7]
PBE-GGA NdY2Tl, relaxed; excess energy over the best structure of this formula in the dataset = 66.3 meV per atom; uncorrected energy = -20.6 eV per cell; DOS at the Fermi energy = 4.5 states/eV/cell; energy relative to the elements = -3.00 kcal/mol of atoms; space group = No. 166
1.0
1.810 1.045 11.038
-1.810 1.045 11.038
0.000 -2.091 11.038
Nd Y Tl
1 2 1
Direct
0.000 0.000 0.000 Nd
0.245 0.245 0.245 Y
0.755 0.755 0.755 Y
0.500 0.500 0.500 Tl



[8]
PBE-GGA Nd4YTl3, relaxed; excess energy over the best structure of this formula in the dataset = 0.0 meV per atom; uncorrected energy = -34.7 eV per cell; DOS at the Fermi energy = 10.0 states/eV/cell; energy relative to the elements = -5.91 kcal/mol of atoms; space group = No. 71
1.0
-2.489 2.495 9.710
2.489 -2.495 9.710
2.489 2.495 -9.710
Nd Y Tl
4 1 3
Direct
0.130 0.130 0.000 Nd
0.368 0.368 0.000 Nd
0.632 0.632 0.000 Nd
0.870 0.870 0.000 Nd
0.500 0.000 0.500 Y
0.000 0.500 0.500 Tl
0.248 0.748 0.500 Tl
0.752 0.252 0.500 Tl



[9]
PBE-GGA NdYTl, relaxed; excess energy over the best structure of this formula in the dataset = 110.2 meV per atom; uncorrected energy = -14.1 eV per cell; DOS at the Fermi energy = 1.9 states/eV/cell; energy relative to the elements = -4.06 kcal/mol of atoms; space group = No. 156
1.0
5.319 0.000 0.000
-2.659 4.606 0.000
0.000 0.000 3.800
Nd Y Tl
1 1 1
Direct
0.000 0.000 0.000 Nd
0.667 0.333 0.531 Y
0.333 0.667 0.400 Tl



[10]
PBE-GGA NdY2Tl2, relaxed; excess energy over the best structure of this formula in the dataset = 0.0 meV per atom; uncorrected energy = -47.9 eV per cell; DOS at the Fermi energy = 11.2 states/eV/cell; energy relative to the elements = -7.00 kcal/mol of atoms; space group = No. 11
1.0
3.825 0.000 0.000
0.000 5.473 0.000
-1.916 0.000 14.109
Nd Y Tl
2 4 4
Direct
0.146 0.250 0.295 Nd
0.854 0.750 0.705 Nd
0.050 0.750 0.100 Y
0.237 0.750 0.474 Y
0.763 0.250 0.526 Y
0.950 0.250 0.900 Y
0.355 0.250 0.710 Tl
0.453 0.750 0.908 Tl
0.547 0.250 0.092 Tl
0.645 0.750 0.290 Tl



[11]
PBE-GGA Nd2YTl3, relaxed; excess energy over the best structure of this formula in the dataset = 0.0 meV per atom; uncorrected energy = -25.4 eV per cell; DOS at the Fermi energy = 4.8 states/eV/cell; energy relative to the elements = -9.04 kcal/mol of atoms; space group = No. 123
1.0
3.834 0.000 0.000
0.000 3.834 0.000
0.000 0.000 11.845
Nd Y Tl
2 1 3
Direct
0.000 0.000 0.171 Nd
0.000 0.000 0.829 Nd
0.000 0.000 0.500 Y
0.500 0.500 0.000 Tl
0.500 0.500 0.343 Tl
0.500 0.500 0.657 Tl



[12]
PBE-GGA Nd4YTl2, relaxed; excess energy over the best structure of this formula in the dataset = 0.0 meV per atom; uncorrected energy = -30.1 eV per cell; DOS at the Fermi energy = 12.2 states/eV/cell; energy relative to the elements = 0.53 kcal/mol of atoms; space group = No. 166
1.0
2.813 1.624 9.011
-2.813 1.624 9.011
0.000 -3.248 9.011
Nd Y Tl
4 1 2
Direct
0.130 0.130 0.130 Nd
0.268 0.268 0.268 Nd
0.732 0.732 0.732 Nd
0.870 0.870 0.870 Nd
0.500 0.500 0.500 Y
0.386 0.386 0.386 Tl
0.614 0.614 0.614 Tl



[13]
PBE-GGA NdYTl, relaxed; excess energy over the best structure of this formula in the dataset = 140.7 meV per atom; uncorrected energy = -14.0 eV per cell; DOS at the Fermi energy = 3.1 states/eV/cell; energy relative to the elements = -3.36 kcal/mol of atoms; space group = No. 156
1.0
3.692 0.000 0.000
-1.846 3.197 0.000
0.000 0.000 8.094
Nd Y Tl
1 1 1
Direct
0.000 0.000 0.000 Nd
0.333 0.667 0.640 Y
0.667 0.333 0.328 Tl



[14]
PBE-GGA NdY3Tl2, relaxed; excess energy over the best structure of this formula in the dataset = 104.2 meV per atom; uncorrected energy = -60.1 eV per cell; DOS at the Fermi energy = 12.3 states/eV/cell; energy relative to the elements = -4.50 kcal/mol of atoms; space group = No. 12
1.0
8.254 -2.721 0.000
8.254 2.721 0.000
-4.485 0.000 8.149
Nd Y Tl
2 6 4
Direct
0.131 0.131 0.175 Nd
0.869 0.869 0.825 Nd
0.059 0.059 0.716 Y
0.306 0.306 0.005 Y
0.383 0.383 0.460 Y
0.617 0.617 0.540 Y
0.694 0.694 0.995 Y
0.941 0.941 0.284 Y
0.222 0.222 0.595 Tl
0.483 0.483 0.829 Tl
0.517 0.517 0.171 Tl
0.778 0.778 0.405 Tl



[15]
PBE-GGA Nd4YTl3, relaxed; excess energy over the best structure of this formula in the dataset = 25.2 meV per atom; uncorrected energy = -69.0 eV per cell; DOS at the Fermi energy = 20.5 states/eV/cell; energy relative to the elements = -5.33 kcal/mol of atoms; space group = No. 51
1.0
11.477 0.000 0.000
0.000 6.999 0.000
0.000 0.000 6.025
Nd Y Tl
8 2 6
Direct
0.000 0.248 0.000 Nd
0.000 0.752 0.000 Nd
0.250 0.241 0.380 Nd
0.250 0.759 0.380 Nd
0.500 0.248 0.000 Nd
0.500 0.752 0.000 Nd
0.750 0.241 0.620 Nd
0.750 0.759 0.620 Nd
0.000 0.500 0.500 Y
0.500 0.500 0.500 Y
0.000 0.000 0.500 Tl
0.250 0.000 0.870 Tl
0.250 0.500 0.860 Tl
0.500 0.000 0.500 Tl
0.750 0.000 0.130 Tl
0.750 0.500 0.140 Tl



[16]
PBE-GGA NdY4Tl, relaxed; excess energy over the best structure of this formula in the dataset = 129.3 meV per atom; uncorrected energy = -65.7 eV per cell; DOS at the Fermi energy = 20.1 states/eV/cell; energy relative to the elements = 0.59 kcal/mol of atoms; space group = No. 36
1.0
2.830 -10.596 0.000
2.830 10.596 0.000
0.000 0.000 6.572
Nd Y Tl
2 8 2
Direct
0.136 0.864 0.500 Nd
0.864 0.136 0.000 Nd
0.061 0.939 0.005 Y
0.255 0.745 0.121 Y
0.316 0.684 0.639 Y
0.460 0.540 0.829 Y
0.540 0.460 0.329 Y
0.684 0.316 0.139 Y
0.745 0.255 0.621 Y
0.939 0.061 0.505 Y
0.399 0.601 0.261 Tl
0.601 0.399 0.761 Tl



[17]
PBE-GGA Nd5Y2Tl4, relaxed; uncorrected energy = -46.4 eV per cell; DOS at the Fermi energy = 12.9 states/eV/cell; energy relative to the elements = -0.40 kcal/mol of atoms; space group = No. 12
1.0
11.795 -1.830 0.000
11.795 1.830 0.000
-2.128 0.000 8.279
Nd Y Tl
5 2 4
Direct
0.000 0.000 0.000 Nd
0.325 0.325 0.553 Nd
0.376 0.376 0.022 Nd
0.624 0.624 0.978 Nd
0.675 0.675 0.447 Nd
0.229 0.229 0.817 Y
0.771 0.771 0.183 Y
0.089 0.089 0.641 Tl
0.473 0.473 0.671 Tl
0.527 0.527 0.329 Tl
0.911 0.911 0.359 Tl



[18]
PBE-GGA Nd12Y5Tl2, relaxed; uncorrected energy = -94.1 eV per cell; DOS at the Fermi energy = 28.2 states/eV/cell; energy relative to the elements = 0.17 kcal/mol of atoms; space group = No. 12
1.0
7.815 -4.700 0.000
7.815 4.700 0.000
-0.530 0.000 8.697
Nd Y Tl
12 5 2
Direct
0.056 0.056 0.322 Nd
0.071 0.680 0.341 Nd
0.166 0.536 0.764 Nd
0.320 0.929 0.659 Nd
0.416 0.416 0.113 Nd
0.464 0.834 0.236 Nd
0.536 0.166 0.764 Nd
0.584 0.584 0.887 Nd
0.680 0.071 0.341 Nd
0.834 0.464 0.236 Nd
0.929 0.320 0.659 Nd
0.944 0.944 0.678 Nd
0.186 0.186 0.008 Y
0.267 0.267 0.416 Y
0.500 0.500 0.500 Y
0.733 0.733 0.584 Y
0.814 0.814 0.992 Y
0.180 0.820 0.000 Tl
0.820 0.180 0.000 Tl



[19]
PBE-GGA Nd2YTl4, relaxed; excess energy over the best structure of this formula in the dataset = 0.0 meV per atom; uncorrected energy = -27.2 eV per cell; DOS at the Fermi energy = 5.5 states/eV/cell; energy relative to the elements = -5.69 kcal/mol of atoms; space group = No. 139
1.0
-2.671 2.671 7.608
2.671 -2.671 7.608
2.671 2.671 -7.608
Nd Y Tl
2 1 4
Direct
0.248 0.248 0.000 Nd
0.752 0.752 0.000 Nd
0.500 0.500 0.000 Y
0.112 0.612 0.500 Tl
0.388 0.888 0.500 Tl
0.612 0.112 0.500 Tl
0.888 0.388 0.500 Tl



[20]
PBE-GGA Nd4YTl4, relaxed; uncorrected energy = -73.6 eV per cell; DOS at the Fermi energy = 14.6 states/eV/cell; energy relative to the elements = -4.58 kcal/mol of atoms; space group = No. 86
1.0
9.394 0.000 0.000
0.000 9.394 0.000
0.000 0.000 6.265
Nd Y Tl
8 2 8
Direct
0.082 0.825 0.118 Nd
0.175 0.582 0.618 Nd
0.325 0.918 0.618 Nd
0.418 0.675 0.118 Nd
0.582 0.325 0.882 Nd
0.675 0.082 0.382 Nd
0.825 0.418 0.382 Nd
0.918 0.175 0.882 Nd
0.250 0.250 0.750 Y
0.750 0.750 0.250 Y
0.046 0.150 0.372 Tl
0.150 0.454 0.128 Tl
0.350 0.046 0.128 Tl
0.454 0.350 0.372 Tl
0.546 0.650 0.628 Tl
0.650 0.954 0.872 Tl
0.850 0.546 0.872 Tl
0.954 0.850 0.628 Tl



[21]
PBE-GGA Nd5YTl2, relaxed; excess energy over the best structure of this formula in the dataset = 49.3 meV per atom; uncorrected energy = -71.2 eV per cell; DOS at the Fermi energy = 29.6 states/eV/cell; energy relative to the elements = -1.61 kcal/mol of atoms; space group = No. 194
1.0
5.588 0.000 0.000
-2.794 4.839 0.000
0.000 0.000 20.376
Nd Y Tl
10 2 4
Direct
0.000 0.000 0.161 Nd
0.000 0.000 0.339 Nd
0.000 0.000 0.661 Nd
0.000 0.000 0.839 Nd
0.333 0.667 0.062 Nd
0.333 0.667 0.250 Nd
0.333 0.667 0.438 Nd
0.667 0.333 0.562 Nd
0.667 0.333 0.750 Nd
0.667 0.333 0.938 Nd
0.333 0.667 0.750 Y
0.667 0.333 0.250 Y
0.333 0.667 0.596 Tl
0.333 0.667 0.904 Tl
0.667 0.333 0.096 Tl
0.667 0.333 0.404 Tl



[22]
PBE-GGA Nd5Y2Tl, relaxed; uncorrected energy = -39.2 eV per cell; DOS at the Fermi energy = 11.1 states/eV/cell; energy relative to the elements = -0.18 kcal/mol of atoms; space group = No. 71
1.0
-1.756 5.736 6.549
1.756 -5.736 6.549
1.756 5.736 -6.549
Nd Y Tl
5 2 1
Direct
0.000 0.000 0.000 Nd
0.102 0.369 0.733 Nd
0.364 0.631 0.733 Nd
0.636 0.369 0.267 Nd
0.898 0.631 0.267 Nd
0.272 0.272 0.000 Y
0.728 0.728 0.000 Y
0.500 0.000 0.500 Tl



[23]
PBE-GGA NdYTlZn, relaxed; excess energy over the best structure of this formula in the dataset = 22.9 meV per atom; uncorrected energy = -16.2 eV per cell; DOS at the Fermi energy = 4.4 states/eV/cell; energy relative to the elements = -7.91 kcal/mol of atoms; space group = No. 216
1.0
0.000 3.763 3.763
3.763 0.000 3.763
3.763 3.763 0.000
Nd Y Tl Zn
1 1 1 1
Direct
0.000 0.000 0.000 Nd
0.500 0.500 0.500 Y
0.250 0.250 0.250 Tl
0.750 0.750 0.750 Zn